(1)
The following is a PBE calculation of crystalline BaZrIn3 at its relaxed geometry, from Alexandria.

```
5
Lattice="-0.8430 -4.1165 -4.1656 -2.9016 -3.3621 3.9097 -5.0871 2.5999 -1.5397" Properties=species:S:1:pos:R:3 pbc="T T T"
Ba 0.0000 0.0000 0.0000
Zr -4.4159 -2.4394 -0.8978
In -1.4508 -1.6811 1.9548
In -2.5436 1.2999 -0.7698
In -0.4215 -2.0582 -2.0828
```

Output
* uncorrected energy: -0.17233 Ry per atom
* DFT formation energy: 1.39 eV/atom
* distance to the lowest polymorph of the same formula: 1438 meV/atom
* magnetization: 0.00 μB/atom
* space group: No. 221

***

(2)
The following is a PBE calculation of crystalline Ba3ZrIn at its relaxed geometry, from Alexandria.

```
5
Lattice="-3.5548 4.8362 1.7284 -3.1974 -0.4391 -5.3476 -4.0190 -3.9283 2.7256" Properties=species:S:1:pos:R:3 pbc="T T T"
Ba -1.5987 -0.2195 -2.6738
Ba -2.0095 -1.9641 1.3628
Ba -1.7774 2.4181 0.8642
Zr 0.0000 0.0000 0.0000
In -5.3856 0.2344 -0.4468
```

Output
* uncorrected energy: -0.20487 Ry per atom
* DFT formation energy: 0.62 eV/atom
* distance to the lowest polymorph of the same formula: 0 meV/atom
* magnetization: 0.07 μB/atom
* space group: No. 221

***

(3)
The following is a PBE calculation of crystalline BaIr5 at its relaxed geometry, from Alexandria.

```
6
Lattice="2.8583 0.0000 0.0000 0.0000 2.8583 0.0000 0.0000 0.0000 12.8050" Properties=species:S:1:pos:R:3 pbc="T T T"
Ba 1.4292 1.4292 0.0000
Ir 0.0000 0.0000 10.0540
Ir 0.0000 0.0000 2.7510
Ir 1.4292 1.4292 8.3107
Ir 1.4292 1.4292 4.4943
Ir 0.0000 0.0000 6.4025
```

Output
* uncorrected energy: -0.53767 Ry per atom
* DFT formation energy: 0.39 eV/atom
* magnetization: 0.00 μB/atom
* space group: No. 123